The following is a PBE with a Hubbard U calculation of a geometry-optimized DyCoAgF6 structure, from Alexandria via LeMat-Bulk.

Structure (POSCAR):
```
DyCoAgF6
1.0
5.751 0.000 0.000
-2.875 4.980 0.000
0.000 0.000 10.023
F Co Dy Ag
12 2 2 2
Direct
0.983 0.626 0.360
0.374 0.017 0.140
0.374 0.357 0.360
0.626 0.983 0.860
0.643 0.626 0.140
0.626 0.643 0.640
0.357 0.374 0.860
0.983 0.357 0.140
0.643 0.017 0.360
0.017 0.374 0.640
0.357 0.983 0.640
0.017 0.643 0.860
0.667 0.333 0.250
0.333 0.667 0.750
0.333 0.667 0.250
0.667 0.333 0.750
0.000 0.000 0.500
0.000 0.000 0.000
```

Values from the calculation:
Theoretical density (g/cm3): 5.128
Energy (eV/atom): -5.352
Crystal system: trigonal